(1)
DFT (PBE-GGA) results for a relaxed IrRu3Pt crystal.

abc: 4.6420 4.6420 4.6420
angles: 90.00 90.00 90.00
Fractional positions:
Ru  0.0000  0.5000  0.0000
Ru  0.0000  0.0000  0.5000
Ru  0.5000  0.0000  0.0000
Ir  0.0000  0.0000  0.0000
Pt  0.5000  0.5000  0.5000

Summary:
The total energy comes out at -6.6912 eV per atom. For the distance to the lowest polymorph of the same formula, the calculation gives 1.673 eV/atom. Its crystal system is cubic. The energy of formation comes out at 1.855 eV/atom.



(2)
DFT (PBE-GGA) results for a relaxed IrRu2Pt crystal.

abc: 4.7382 4.7382 4.7458
angles: 80.43 80.43 33.53
Fractional positions:
Pt  0.2500  0.2500  0.2500
Ru  0.0034  0.0034  0.9904
Ru  0.4966  0.4966  0.5096
Ir  0.7500  0.7500  0.7500

Summary:
The total energy comes out at -8.3146 eV per atom. For the distance to the lowest polymorph of the same formula, the calculation gives 0.054 eV/atom. Its crystal system is monoclinic. The energy of formation comes out at 0.049 eV/atom.



(3)
DFT (PBE-GGA) results for a relaxed Ir2Ru4Pt3 crystal.

abc: 3.8632 6.1392 6.1672
angles: 72.26 71.75 90.00
Fractional positions:
Pt  0.5546  0.3323  0.8908
Pt  0.4454  0.6677  0.1092
Pt  0.0000  0.0000  0.0000
Ir  0.7740  0.6677  0.4520
Ir  0.2260  0.3323  0.5480
Ru  0.3255  0.0019  0.3490
Ru  0.1179  0.6700  0.7642
Ru  0.8821  0.3300  0.2358
Ru  0.6745  0.9981  0.6510

Summary:
The total energy comes out at -8.1178 eV per atom. Its crystal system is monoclinic. The energy of formation comes out at -0.013 eV/atom.



(4)
DFT (PBE-GGA) results for a relaxed IrRu2Pt crystal.

abc: 4.3947 4.3947 4.3947
angles: 60.00 60.00 60.00
Fractional positions:
Ir  0.0000  0.0000  0.0000
Ru  0.7500  0.7500  0.7500
Ru  0.2500  0.2500  0.2500
Pt  0.5000  0.5000  0.5000

Summary:
The total energy comes out at -7.8613 eV per atom. For the distance to the lowest polymorph of the same formula, the calculation gives 0.508 eV/atom. Its crystal system is cubic. The energy of formation comes out at 0.502 eV/atom.



(5)
DFT (PBE-GGA) results for a relaxed IrRu2Pt crystal.

abc: 4.7039 4.7039 2.7027
angles: 90.00 90.00 90.00
Fractional positions:
Ru  0.5000  0.5000  0.0000
Ru  0.0000  0.0000  0.0000
Ir  0.5000  0.0000  0.5000
Pt  0.0000  0.5000  0.5000

Summary:
The total energy comes out at -8.0238 eV per atom. For the distance to the lowest polymorph of the same formula, the calculation gives 0.345 eV/atom. Its crystal system is tetragonal. The energy of formation comes out at 0.340 eV/atom.



(6)
DFT (PBE-GGA) results for a relaxed IrRu2Pt crystal.

abc: 2.7485 5.1799 8.5749
angles: 90.00 90.00 105.39
Fractional positions:
Pt  0.0232  0.0465  0.7500
Pt  0.9768  0.9535  0.2500
Ru  0.6347  0.2693  0.0229
Ru  0.6347  0.2693  0.4771
Ru  0.3653  0.7307  0.9771
Ru  0.3653  0.7307  0.5229
Ir  0.2421  0.4842  0.2500
Ir  0.7579  0.5158  0.7500

Summary:
The total energy comes out at -8.2913 eV per atom. For the distance to the lowest polymorph of the same formula, the calculation gives 0.078 eV/atom. Its crystal system is orthorhombic. The energy of formation comes out at 0.072 eV/atom.



> Which of these has the highest energy of formation?

IrRu3Pt